Run one
VASP calculation (PBE-GGA) on LiZnAsO4 after structural relaxation.

```
LiZnAsO4
1.0
-4.885 -6.792 2.932
2.759 -1.969 -8.191
7.152 0.651 5.197
Li As Zn O
6 6 6 24
Direct
0.380 0.147 0.551
0.147 0.551 0.380
0.665 0.842 0.066
0.842 0.066 0.665
0.551 0.380 0.147
0.066 0.665 0.842
0.178 0.403 0.995
0.995 0.178 0.403
0.480 0.888 0.709
0.403 0.995 0.178
0.888 0.709 0.480
0.709 0.480 0.888
0.043 0.818 0.219
0.818 0.219 0.043
0.335 0.505 0.740
0.740 0.335 0.505
0.505 0.740 0.335
0.219 0.043 0.818
0.582 0.592 0.907
0.248 0.914 0.964
0.907 0.582 0.592
0.547 0.214 0.259
0.214 0.259 0.547
0.365 0.012 0.692
0.190 0.519 0.871
0.924 0.635 0.971
0.628 0.335 0.670
0.692 0.365 0.012
0.519 0.871 0.190
0.335 0.670 0.628
0.670 0.628 0.335
0.964 0.248 0.914
0.914 0.964 0.248
0.635 0.971 0.924
0.259 0.547 0.214
0.308 0.294 0.975
0.871 0.190 0.519
0.294 0.975 0.308
0.592 0.907 0.582
0.971 0.924 0.635
0.975 0.308 0.294
0.012 0.692 0.365
```

## Properties
The density comes out at 3.72 g/cm³.

***

Run two
VASP calculation (PBE-GGA) on LiZnAsO4 after structural relaxation.

```
LiZnAsO4
1.0
-3.154 0.577 3.205
3.167 -0.499 3.206
0.756 4.437 -3.262
Zn O Li As
1 4 1 1
Direct
0.250 0.750 0.500
0.596 0.632 0.785
0.847 0.404 0.215
0.368 0.811 0.215
0.189 0.153 0.785
0.000 0.000 0.000
0.500 0.500 0.000
```

## Properties
The density comes out at 3.76 g/cm³.

***

Computed relative energies in units of meV per atom: run one 0; run two 50

***

Run one
VASP calculation (PBE-GGA) on LiZr2As3O12 after structural relaxation.

```
LiZr2As3O12
1.0
-0.644 -7.887 -4.939
6.366 -6.727 1.103
-2.276 -7.937 4.164
O As Zr Li
24 6 4 2
Direct
0.559 0.757 0.268
0.998 0.814 0.566
0.502 0.878 0.934
0.498 0.122 0.066
0.243 0.584 0.732
0.059 0.916 0.768
0.584 0.441 0.732
0.743 0.941 0.232
0.084 0.743 0.232
0.257 0.059 0.768
0.916 0.257 0.768
0.378 0.002 0.434
0.002 0.186 0.434
0.416 0.559 0.268
0.441 0.243 0.732
0.757 0.416 0.268
0.314 0.498 0.066
0.622 0.998 0.566
0.814 0.622 0.566
0.186 0.378 0.434
0.686 0.502 0.934
0.122 0.314 0.066
0.878 0.686 0.934
0.941 0.084 0.232
0.045 0.750 0.750
0.955 0.250 0.250
0.545 0.955 0.250
0.750 0.455 0.750
0.250 0.545 0.250
0.455 0.045 0.750
0.359 0.359 0.922
0.859 0.859 0.422
0.641 0.641 0.078
0.141 0.141 0.578
0.000 0.000 0.000
0.500 0.500 0.500
```

## Properties
The density comes out at 3.55 g/cm³.

***

Run two
VASP calculation (PBE-GGA) on LiZr2As3O12 after structural relaxation.

```
LiZr2As3O12
1.0
-0.246 0.247 -9.351
2.139 -9.049 -0.296
-10.561 -11.890 -0.037
As O Zr Li
12 48 8 4
Direct
0.125 0.755 0.146
0.752 0.543 0.988
0.252 0.457 0.512
0.625 0.245 0.354
0.248 0.457 0.012
0.399 0.032 0.856
0.899 0.968 0.644
0.375 0.755 0.646
0.748 0.543 0.488
0.875 0.245 0.854
0.101 0.032 0.356
0.601 0.968 0.144
0.328 0.484 0.098
0.583 0.168 0.478
0.482 0.580 0.726
0.451 0.845 0.968
0.332 0.252 0.582
0.905 0.080 0.837
0.363 0.462 0.928
0.405 0.920 0.663
0.697 0.288 0.833
0.625 0.382 0.560
0.518 0.420 0.274
0.236 0.997 0.818
0.303 0.712 0.167
0.637 0.538 0.072
0.049 0.845 0.468
0.168 0.252 0.082
0.736 0.003 0.682
0.417 0.832 0.522
0.137 0.462 0.428
0.083 0.832 0.022
0.474 0.933 0.233
0.386 0.207 0.862
0.832 0.748 0.918
0.264 0.997 0.318
0.917 0.168 0.978
0.828 0.516 0.402
0.886 0.793 0.638
0.863 0.538 0.572
0.549 0.155 0.032
0.982 0.420 0.774
0.764 0.003 0.182
0.614 0.793 0.138
0.375 0.618 0.440
0.526 0.067 0.767
0.197 0.712 0.667
0.018 0.580 0.226
0.172 0.484 0.598
0.951 0.155 0.532
0.803 0.288 0.333
0.668 0.748 0.418
0.125 0.618 0.940
0.026 0.933 0.733
0.114 0.207 0.362
0.095 0.920 0.163
0.595 0.080 0.337
0.875 0.382 0.060
0.974 0.067 0.267
0.672 0.516 0.902
0.977 0.372 0.379
0.023 0.628 0.621
0.959 0.142 0.111
0.459 0.858 0.389
0.541 0.142 0.611
0.523 0.372 0.879
0.041 0.858 0.889
0.477 0.628 0.121
0.225 0.024 0.683
0.275 0.024 0.183
0.725 0.976 0.817
0.775 0.976 0.317
```

## Properties
The density comes out at 3.55 g/cm³.

***

Computed relative energies in units of meV per atom: run one 15; run two 0